No. 1
A relaxed structure of ZrMnCu2H. Source: Alexandria via LeMat-Bulk, functional PBE.

Cell lengths 3.7674, 3.7674, 4.1211 Å; angles 90.00, 90.00, 90.00 degrees
Closest atoms and distances in Å follow each position.
Element x y z (fractional)
Zr 0.0000 0.0000 0.0000  4 Mn 2.66, 8 Cu 2.79
Mn 0.5000 0.5000 0.0000  2 H 2.06
Cu 0.0000 0.5000 0.5000  2 H 1.88
Cu 0.5000 0.0000 0.5000  2 H 1.88
H 0.5000 0.5000 0.5000  4 Cu 1.88, 2 Mn 2.06

Properties
Electronic total energy, eV/f.u.: -28.6
Total magnetization, μB/f.u.: 0.000

---

No. 2
A relaxed structure of CuMoH. Source: Alexandria via LeMat-Bulk, functional PBE.

Cell lengths 5.2368, 4.2295, 5.6376 Å; angles 90.00, 90.00, 90.00 degrees
Closest atoms and distances in Å follow each position.
Element x y z (fractional)
Cu 0.0792 0.2500 0.0831  2 H 1.71-1.75
Cu 0.4208 0.7500 0.5831  2 H 1.71-1.75
Cu 0.5792 0.2500 0.4169  2 H 1.71-1.75
Cu 0.9208 0.7500 0.9169  2 H 1.71-1.75
Mo 0.0889 0.2500 0.6157  1 H 1.85
Mo 0.4111 0.7500 0.1157  1 H 1.85
Mo 0.5889 0.2500 0.8843  1 H 1.85
Mo 0.9111 0.7500 0.3843  1 H 1.85
H 0.0974 0.7500 0.6622  2 Cu 1.71-1.75, 1 Mo 1.85
H 0.4026 0.2500 0.1622  2 Cu 1.71-1.75, 1 Mo 1.85
H 0.5974 0.7500 0.8378  2 Cu 1.71-1.75, 1 Mo 1.85
H 0.9026 0.2500 0.3378  2 Cu 1.71-1.75, 1 Mo 1.85

Properties
Electronic total energy, eV/f.u.: -17.6
E above lowest polymorph, meV/atom: 0
Total magnetization, μB/f.u.: 0.000

---

No. 3
A relaxed structure of Cu2MoH2. Source: Alexandria via LeMat-Bulk, functional PBE.

Cell lengths 4.9307, 4.9307, 3.9498 Å; angles 90.00, 90.00, 90.00 degrees
Closest atoms and distances in Å follow each position.
Element x y z (fractional)
Cu 0.1779 0.3221 0.0000  2 H 1.98
Cu 0.3221 0.8221 0.0000  2 H 1.98
Cu 0.6779 0.1779 0.0000  2 H 1.98
Cu 0.8221 0.6779 0.0000  2 H 1.98
Mo 0.0000 0.0000 0.5000  4 H 1.87
Mo 0.5000 0.5000 0.5000  4 H 1.87
H 0.1537 0.3463 0.5000  2 Mo 1.87, 2 Cu 1.98
H 0.3463 0.8463 0.5000  2 Mo 1.87, 2 Cu 1.98
H 0.6537 0.1537 0.5000  2 Mo 1.87, 2 Cu 1.98
H 0.8463 0.6537 0.5000  2 Mo 1.87, 2 Cu 1.98

Properties
Electronic total energy, eV/f.u.: -24.3
Total magnetization, μB/f.u.: 0.000